1.
First-principles (PBE-GGA) data for an optimized crystal structure of Tb3RuPt2, as listed in the Alexandria database.

Cell: 7.703 7.703 7.060 Å, 90.00 90.00 143.05°
Fractional positions:
Tb: 0.000 0.000 0.247
Tb: 0.000 0.000 0.753
Tb: 0.331 0.669 0.246
Tb: 0.331 0.669 0.754
Tb: 0.669 0.331 0.246
Tb: 0.669 0.331 0.754
Ru: 0.168 0.832 0.000
Ru: 0.832 0.168 0.000
Pt: 0.165 0.835 0.500
Pt: 0.500 0.500 0.000
Pt: 0.500 0.500 0.500
Pt: 0.835 0.165 0.500

Total moment (μB/f.u.): 0.0

***

2.
First-principles (PBE-GGA) data for an optimized crystal structure of TbThRuPt, as listed in the Alexandria database.

Cell: 4.997 4.997 4.997 Å, 60.00 60.00 60.00°
Fractional positions:
Tb: 0.000 0.000 0.000
Th: 0.500 0.500 0.500
Ru: 0.750 0.750 0.750
Pt: 0.250 0.250 0.250

Total moment (μB/f.u.): 0.0

***

3.
First-principles (PBE-GGA) data for an optimized crystal structure of TbThRuPt, as listed in the Alexandria database.

Cell: 4.129 5.954 5.954 Å, 38.21 90.00 90.00°
Fractional positions:
Tb: 0.000 0.000 0.000
Th: 0.500 0.280 0.280
Ru: 0.000 0.737 0.737
Pt: 0.500 0.554 0.554

Total moment (μB/f.u.): 0.0

***

4.
First-principles (PBE-GGA) data for an optimized crystal structure of TbTmRuPt, as listed in the Alexandria database.

Cell: 4.847 4.847 4.847 Å, 60.00 60.00 60.00°
Fractional positions:
Tb: 0.000 0.000 0.000
Tm: 0.500 0.500 0.500
Ru: 0.250 0.250 0.250
Pt: 0.750 0.750 0.750

Total moment (μB/f.u.): 0.0

***

5.
First-principles (PBE-GGA) data for an optimized crystal structure of TbTmRuPt, as listed in the Alexandria database.

Cell: 3.456 3.456 6.747 Å, 90.00 90.00 90.00°
Fractional positions:
Tb: 0.000 0.000 0.000
Tm: 0.000 0.000 0.489
Ru: 0.500 0.500 0.250
Pt: 0.500 0.500 0.738

Total moment (μB/f.u.): 0.0

***

6.
First-principles (PBE-GGA) data for an optimized crystal structure of TbYRuPt, as listed in the Alexandria database.

Cell: 4.887 4.887 4.887 Å, 60.00 60.00 60.00°
Fractional positions:
Tb: 0.000 0.000 0.000
Y: 0.500 0.500 0.500
Ru: 0.750 0.750 0.750
Pt: 0.250 0.250 0.250

Total moment (μB/f.u.): 0.0

***

7.
First-principles (PBE-GGA) data for an optimized crystal structure of TbYRuPt, as listed in the Alexandria database.

Cell: 3.481 3.481 6.816 Å, 90.00 90.00 90.00°
Fractional positions:
Tb: 0.000 0.000 0.000
Y: 0.000 0.000 0.510
Ru: 0.500 0.500 0.757
Pt: 0.500 0.500 0.255

Total moment (μB/f.u.): 0.0

***

8.
First-principles (PBE-GGA) data for an optimized crystal structure of TbZrRuPt, as listed in the Alexandria database.

Cell: 4.788 4.788 4.788 Å, 60.00 60.00 60.00°
Fractional positions:
Tb: 0.000 0.000 0.000
Zr: 0.500 0.500 0.500
Ru: 0.250 0.250 0.250
Pt: 0.750 0.750 0.750

Total moment (μB/f.u.): 0.0

***

9.
First-principles (PBE-GGA) data for an optimized crystal structure of TcRuPt2, as listed in the Alexandria database.

Cell: 2.726 3.985 5.466 Å, 90.00 90.00 90.00°
Fractional positions:
Tc: 0.000 0.000 0.000
Ru: 0.000 0.000 0.500
Pt: 0.500 0.500 0.248
Pt: 0.500 0.500 0.752

Total moment (μB/f.u.): 0.0

***

10.
First-principles (PBE-GGA) data for an optimized crystal structure of TcRu4Pt, as listed in the Alexandria database.

Cell: 3.276 3.276 8.229 Å, 90.00 90.00 90.00°
Fractional positions:
Tc: 0.000 0.000 0.000
Ru: 0.000 0.000 0.327
Ru: 0.000 0.000 0.673
Ru: 0.500 0.500 0.163
Ru: 0.500 0.500 0.837
Pt: 0.500 0.500 0.500

Total moment (μB/f.u.): 2.0

***

11.
First-principles (PBE-GGA) data for an optimized crystal structure of Tc2Ru2Pt, as listed in the Alexandria database.

Cell: 7.385 7.385 2.763 Å, 90.00 90.00 90.00°
Fractional positions:
Tc: 0.168 0.332 0.000
Tc: 0.332 0.832 0.000
Tc: 0.668 0.168 0.000
Tc: 0.832 0.668 0.000
Ru: 0.126 0.626 0.500
Ru: 0.374 0.126 0.500
Ru: 0.626 0.874 0.500
Ru: 0.874 0.374 0.500
Pt: 0.000 0.000 0.500
Pt: 0.500 0.500 0.500

Total moment (μB/f.u.): 0.0

***

12.
First-principles (PBE-GGA) data for an optimized crystal structure of TcRuPt2, as listed in the Alexandria database.

Cell: 4.428 4.428 4.428 Å, 60.00 60.00 60.00°
Fractional positions:
Tc: 0.000 0.000 0.000
Ru: 0.750 0.750 0.750
Pt: 0.250 0.250 0.250
Pt: 0.500 0.500 0.500

Total moment (μB/f.u.): 1.9

***

Calculated ΔE_f (eV per atom), listed in the same order as above: -0.93; -0.73; -0.87; -0.81; -0.86; -0.76; -0.80; -0.71; -0.02; 0.36; 0.11; 0.30